# 1
## Sr2CeBr6 (PBE)

Data for a geometry-optimized Sr2CeBr6 structure.

abc: 7.2642 7.2642 13.6620
angles: 90.00 90.00 90.00
With the nearest neighbours (Å) after each atom.
Positions (direct):
Sr  0.0000  0.0000  0.1705  6 Br 3.06-3.11
Sr  0.0000  0.0000  0.8295  6 Br 3.06-3.11
Sr  0.5000  0.5000  0.3295  6 Br 3.06-3.11
Sr  0.5000  0.5000  0.6705  6 Br 3.06-3.11
Ce  0.0000  0.0000  0.5000  6 Br 3.05-3.08
Ce  0.5000  0.5000  0.0000  6 Br 3.05-3.08
Br  0.2003  0.2003  0.0000  1 Ce 3.08, 2 Sr 3.11
Br  0.2010  0.2010  0.3354  1 Ce 3.05, 2 Sr 3.06-3.07
Br  0.2010  0.2010  0.6646  1 Ce 3.05, 2 Sr 3.06-3.07
Br  0.2990  0.7010  0.1646  1 Ce 3.05, 2 Sr 3.06-3.07
Br  0.2990  0.7010  0.8354  1 Ce 3.05, 2 Sr 3.06-3.07
Br  0.2997  0.7003  0.5000  1 Ce 3.08, 2 Sr 3.11
Br  0.7003  0.2997  0.5000  1 Ce 3.08, 2 Sr 3.11
Br  0.7010  0.2990  0.1646  1 Ce 3.05, 2 Sr 3.06-3.07
Br  0.7010  0.2990  0.8354  1 Ce 3.05, 2 Sr 3.06-3.07
Br  0.7990  0.7990  0.3354  1 Ce 3.05, 2 Sr 3.06-3.07
Br  0.7990  0.7990  0.6646  1 Ce 3.05, 2 Sr 3.06-3.07
Br  0.7997  0.7997  0.0000  1 Ce 3.08, 2 Sr 3.11

Results
For the energy above the lowest structure with this stoichiometry, the calculation gives 0.034 eV/atom. The calculation puts the density of states at the Fermi level at 22.9 states/eV per cell. Its uncorrected formation energy is -1618 kJ/mol of formula units. Its crystal system is tetragonal. For the magnetic moment, the calculation gives 4.01 μB/cell.



# 2
## KScBe2 (PBE)

Data for a geometry-optimized KScBe2 structure.

abc: 9.5984 9.5984 9.5984
angles: 19.87 19.87 19.87
With the nearest neighbours (Å) after each atom.
Positions (direct):
K  0.0000  0.0000  0.0000  6 K 3.31, 6 Be 3.37
Sc  0.5000  0.5000  0.5000  6 Be 2.71
Be  0.2348  0.2348  0.2348  3 Sc 2.71
Be  0.7652  0.7652  0.7652  3 Sc 2.71

Results
As for the calculated formation energy: 0.864 eV per atom. For the energy above the lowest structure with this stoichiometry, the calculation gives 0.467 eV/atom. The calculation puts the density of states at the Fermi level at 3.3 states/eV per cell. Its crystal system is trigonal. For the magnetic moment, the calculation gives 0.00 μB/cell.